1.
# SmTh2Mg6 | Alexandria via LeMat-Bulk | PBE | optimized geometry
# **ΔH_f (0 K)**: -1.0 kJ/mol of atoms
# **Uncorrected energy**: -3.25 eV per atom
data_SmTh2Mg6
_chemical_formula_sum 'Sm3 Th6 Mg18'
_symmetry_space_group_name_H-M 'R -3 m'
_symmetry_Int_Tables_number 166
_symmetry_space_group_name_Hall '-R 3 2"'
_cell_length_a 9.1377
_cell_length_b 9.1377
_cell_length_c 10.0032
_cell_angle_alpha 90.00
_cell_angle_beta 90.00
_cell_angle_gamma 120.00
loop_
_atom_site_label
_atom_site_fract_x
_atom_site_fract_y
_atom_site_fract_z
_atom_site_occupancy
Sm1 0.0000 0.0000 0.0000 1
Th1 0.0000 0.0000 0.3409 1
Mg1 0.0000 0.3352 0.5000 1

2.
# CdIn2BiIr | Alexandria via LeMat-Bulk | PBE | optimized geometry
# **ΔH_f (0 K)**: 13.5 kJ/mol of atoms
# **Uncorrected energy**: -3.69 eV per atom
data_CdIn2BiIr
_chemical_formula_sum 'Cd1 In2 Bi1 Ir1'
_symmetry_space_group_name_H-M 'P 4/m m m'
_symmetry_Int_Tables_number 123
_symmetry_space_group_name_Hall '-P 4 2'
_cell_length_a 5.1790
_cell_length_b 5.1790
_cell_length_c 5.4982
_cell_angle_alpha 90.00
_cell_angle_beta 90.00
_cell_angle_gamma 90.00
loop_
_atom_site_label
_atom_site_fract_x
_atom_site_fract_y
_atom_site_fract_z
_atom_site_occupancy
Cd1 0.0000 0.0000 0.0000 1
In1 0.0000 0.5000 0.5000 1
Bi1 0.5000 0.5000 0.0000 1
Ir1 0.5000 0.5000 0.5000 1

3.
# K3MgSi2O6 | Alexandria via LeMat-Bulk | PBE | optimized geometry
# **E_form (uncorrected)**: -2.1234 eV per atom
# **Uncorrected energy**: -5.91 eV per atom
data_K3MgSi2O6
_chemical_formula_sum 'K3 Mg1 Si2 O6'
_symmetry_space_group_name_H-M 'P -3 m 1'
_symmetry_Int_Tables_number 164
_symmetry_space_group_name_Hall '-P 3 2"'
_cell_length_a 5.7288
_cell_length_b 5.7288
_cell_length_c 7.1290
_cell_angle_alpha 90.00
_cell_angle_beta 90.00
_cell_angle_gamma 120.00
loop_
_atom_site_label
_atom_site_fract_x
_atom_site_fract_y
_atom_site_fract_z
_atom_site_occupancy
K1 0.0000 0.0000 0.0000 1
K2 0.3333 0.6667 0.7241 1
Mg1 0.0000 0.0000 0.5000 1
Si1 0.3333 0.6667 0.2866 1
O1 0.1732 0.3464 0.3150 1

4.
# Li3TcF8 | Alexandria via LeMat-Bulk | PBE | optimized geometry
# **E_form (uncorrected)**: -2.4090 eV per atom
# **Uncorrected energy**: -5.00 eV per atom
data_Li3TcF8
_chemical_formula_sum 'Li3 Tc1 F8'
_symmetry_space_group_name_H-M 'P m -3 m'
_symmetry_Int_Tables_number 221
_symmetry_space_group_name_Hall '-P 4 2 3'
_cell_length_a 4.9827
_cell_length_b 4.9827
_cell_length_c 4.9827
_cell_angle_alpha 90.00
_cell_angle_beta 90.00
_cell_angle_gamma 90.00
loop_
_atom_site_label
_atom_site_fract_x
_atom_site_fract_y
_atom_site_fract_z
_atom_site_occupancy
Li1 0.0000 0.0000 0.5000 1
Tc1 0.5000 0.5000 0.5000 1
F1 0.2648 0.2648 0.2648 1

5.
# Ac6PbS8 | Alexandria via LeMat-Bulk | PBE | optimized geometry
# **E_form (uncorrected)**: -1.8442 eV per atom
# **Uncorrected energy**: -5.94 eV per atom
data_Ac6PbS8
_chemical_formula_sum 'Ac24 Pb4 S32'
_symmetry_space_group_name_H-M 'F m -3 m'
_symmetry_Int_Tables_number 225
_symmetry_space_group_name_Hall '-F 4 2 3'
_cell_length_a 12.1426
_cell_length_b 12.1426
_cell_length_c 12.1426
_cell_angle_alpha 90.00
_cell_angle_beta 90.00
_cell_angle_gamma 90.00
loop_
_atom_site_label
_atom_site_fract_x
_atom_site_fract_y
_atom_site_fract_z
_atom_site_occupancy
Ac1 0.0000 0.2500 0.2500 1
Pb1 0.0000 0.0000 0.0000 1
S1 0.0000 0.0000 0.2459 1
S2 0.2500 0.2500 0.2500 1

6.
# Pr3Pd4 | Alexandria via LeMat-Bulk | PBE | optimized geometry
# **ΔH_f (0 K)**: -75.7 kJ/mol of atoms
# **Uncorrected energy**: -5.80 eV per atom
data_Pr3Pd4
_chemical_formula_sum 'Pr12 Pd16'
_symmetry_space_group_name_H-M 'C m c m'
_symmetry_Int_Tables_number 63
_symmetry_space_group_name_Hall '-C 2c 2'
_cell_length_a 4.0670
_cell_length_b 10.7098
_cell_length_c 15.1580
_cell_angle_alpha 90.00
_cell_angle_beta 90.00
_cell_angle_gamma 90.00
loop_
_atom_site_label
_atom_site_fract_x
_atom_site_fract_y
_atom_site_fract_z
_atom_site_occupancy
Pr1 0.0000 0.0628 0.2500 1
Pr2 0.0000 0.3367 0.0956 1
Pd1 0.0000 0.0000 0.0000 1
Pd2 0.0000 0.2139 0.7500 1
Pd3 0.0000 0.3797 0.6040 1

7.
# Pm3Dy2ScBi6 | Alexandria via LeMat-Bulk | PBE | optimized geometry
# **ΔH_f (0 K)**: -82.8 kJ/mol of atoms
# **Uncorrected energy**: -5.28 eV per atom
data_Pm3Dy2ScBi6
_chemical_formula_sum 'Pm6 Dy4 Sc2 Bi12'
_symmetry_space_group_name_H-M 'C 1 2/m 1'
_symmetry_Int_Tables_number 12
_cell_length_a 19.5808
_cell_length_b 4.4995
_cell_length_c 8.9880
_cell_angle_alpha 90.00
_cell_angle_beta 103.13
_cell_angle_gamma 90.00
loop_
_symmetry_equiv_pos_as_xyz
'x,y,z'
'-x,-y,-z'
'-x,y,-z'
'x,-y,z'
'x+1/2,y+1/2,z'
'-x+1/2,-y+1/2,-z'
'-x+1/2,y+1/2,-z'
'x+1/2,-y+1/2,z'
loop_
_atom_site_label
_atom_site_fract_x
_atom_site_fract_y
_atom_site_fract_z
_atom_site_occupancy
Pm1 0.0000 0.0000 0.0000 1
Pm2 0.1685 0.5000 0.3342 1
Dy1 0.1657 0.5000 0.8325 1
Sc1 0.0000 0.0000 0.5000 1
Bi1 0.9996 0.5000 0.2640 1
Bi2 0.1609 0.0000 0.5848 1
Bi3 0.1683 0.0000 0.0795 1

8.
# ThMg2Al2Cu | Alexandria via LeMat-Bulk | PBE | optimized geometry
# **ΔH_f (0 K)**: 17.4 kJ/mol of atoms
# **Uncorrected energy**: -3.52 eV per atom
data_ThMg2Al2Cu
_chemical_formula_sum 'Th2 Mg4 Al4 Cu2'
_symmetry_space_group_name_H-M 'I 4/m m m'
_symmetry_Int_Tables_number 139
_symmetry_space_group_name_Hall '-I 4 2'
_cell_length_a 4.1279
_cell_length_b 4.1279
_cell_length_c 16.9195
_cell_angle_alpha 90.00
_cell_angle_beta 90.00
_cell_angle_gamma 90.00
loop_
_atom_site_label
_atom_site_fract_x
_atom_site_fract_y
_atom_site_fract_z
_atom_site_occupancy
Th1 0.0000 0.0000 0.0000 1
Mg1 0.0000 0.5000 0.2500 1
Al1 0.0000 0.0000 0.3656 1
Cu1 0.0000 0.0000 0.5000 1

9.
# PmNpN2 | Alexandria via LeMat-Bulk | PBE | optimized geometry
# **E_form (uncorrected)**: -1.2946 eV per atom
# **Excess energy over the best structure of this formula in the dataset**: 0.0000 eV per atom
# **Uncorrected energy**: -9.88 eV per atom
data_PmNpN2
_chemical_formula_sum 'Pm3 Np3 N6'
_symmetry_space_group_name_H-M 'R -3 m'
_symmetry_Int_Tables_number 166
_symmetry_space_group_name_Hall '-R 3 2"'
_cell_length_a 3.5091
_cell_length_b 3.5091
_cell_length_c 17.3241
_cell_angle_alpha 90.00
_cell_angle_beta 90.00
_cell_angle_gamma 120.00
loop_
_atom_site_label
_atom_site_fract_x
_atom_site_fract_y
_atom_site_fract_z
_atom_site_occupancy
Pm1 0.0000 0.0000 0.0000 1
Np1 0.0000 0.0000 0.5000 1
N1 0.0000 0.0000 0.2399 1

10.
# Dy2TmPb | Alexandria via LeMat-Bulk | PBE | optimized geometry
# **ΔH_f (0 K)**: 5.7 kJ/mol of atoms
# **Excess energy over the best structure of this formula in the dataset**: 0.3255 eV per atom
# **Uncorrected energy**: -4.29 eV per atom
data_Dy2TmPb
_chemical_formula_sum 'Dy6 Tm3 Pb3'
_symmetry_space_group_name_H-M 'R 3 m'
_symmetry_Int_Tables_number 160
_symmetry_space_group_name_Hall 'R 3 -2"'
_cell_length_a 5.2012
_cell_length_b 5.2012
_cell_length_c 17.0075
_cell_angle_alpha 90.00
_cell_angle_beta 90.00
_cell_angle_gamma 120.00
loop_
_atom_site_label
_atom_site_fract_x
_atom_site_fract_y
_atom_site_fract_z
_atom_site_occupancy
Dy1 0.0000 0.0000 0.0000 1
Dy2 0.0000 0.0000 0.2172 1
Tm1 0.0000 0.0000 0.4345 1
Pb1 0.0000 0.0000 0.6304 1

11.
# TlGaAgAu | Alexandria via LeMat-Bulk | PBE | optimized geometry
# **ΔH_f (0 K)**: 9.2 kJ/mol of atoms
# **Uncorrected energy**: -2.78 eV per atom
data_TlGaAgAu
_chemical_formula_sum 'Tl4 Ga4 Ag4 Au4'
_symmetry_space_group_name_H-M 'F -4 3 m'
_symmetry_Int_Tables_number 216
_symmetry_space_group_name_Hall 'F -4 2 3'
_cell_length_a 6.9576
_cell_length_b 6.9576
_cell_length_c 6.9576
_cell_angle_alpha 90.00
_cell_angle_beta 90.00
_cell_angle_gamma 90.00
loop_
_atom_site_label
_atom_site_fract_x
_atom_site_fract_y
_atom_site_fract_z
_atom_site_occupancy
Tl1 0.0000 0.0000 0.0000 1
Ga1 0.2500 0.2500 0.7500 1
Ag1 0.2500 0.2500 0.2500 1
Au1 0.0000 0.0000 0.5000 1

- What is the uncorrected energy in the eighth record?
  -3.52 eV per atom

- What is the uncorrected energy in the fifth record?
  -5.94 eV per atom